1.
Computed, not measured: an optimized crystal structure of TbY2ZrN4 at the PBE-GGA level of DFT.

## Properties
Crystal system = monoclinic
E_form (uncorrected) = -1705 meV/atom

Unit cell a=5.917 b=3.413 c=5.922 alpha=90.00 beta=109.26 gamma=90.00
Space group P2/m (No. 10)
Inequivalent atoms, fractional coordinates:
Tb (0.000, 0.000, 0.000) (multiplicity 1)
Y (0.500, 0.000, 0.500) (multiplicity 1)
Y (0.500, 0.500, 0.000) (multiplicity 1)
Zr (0.000, 0.500, 0.500) (multiplicity 1)
N (0.237, 0.000, 0.736) (multiplicity 2)
N (0.242, 0.500, 0.259) (multiplicity 2)

2.
Computed, not measured: an optimized crystal structure of RbLiVSi2 at the PBE-GGA level of DFT.

## Properties
Energy above the most stable polymorph in this dataset = 1.159 eV per atom
Crystal system = tetragonal
E_form (uncorrected) = 2099 meV/atom

Unit cell a=5.638 b=5.638 c=5.213 alpha=90.00 beta=90.00 gamma=90.00
Space group P4/mmm (No. 123)
Inequivalent atoms, fractional coordinates:
Rb (0.000, 0.000, 0.000) (multiplicity 1)
Li (0.500, 0.500, 0.500) (multiplicity 1)
V (0.000, 0.000, 0.500) (multiplicity 1)
Si (0.000, 0.500, 0.000) (multiplicity 2)

3.
Computed, not measured: an optimized crystal structure of AcCu4As3 at the PBE-GGA level of DFT.

## Properties
ΔE_f = -0.38 eV/atom
Crystal system = tetragonal

Unit cell a=4.127 b=4.127 c=8.624 alpha=90.00 beta=90.00 gamma=90.00
Space group P4/mmm (No. 123)
Inequivalent atoms, fractional coordinates:
Ac (0.000, 0.000, 0.000) (multiplicity 1)
Cu (0.000, 0.500, 0.337) (multiplicity 4)
As (0.000, 0.000, 0.500) (multiplicity 1)
As (0.500, 0.500, 0.181) (multiplicity 2)

4.
Computed, not measured: an optimized crystal structure of Dy12In3H5 at the PBE-GGA level of DFT.

## Properties
Crystal system = cubic
Raw total energy = -4.249 eV/atom

Unit cell a=15.599 b=15.599 c=15.599 alpha=90.00 beta=90.00 gamma=90.00
Space group Ia-3d (No. 230)
Inequivalent atoms, fractional coordinates:
Dy (0.042, 0.054, 0.650) (multiplicity 96)
In (0.000, 0.250, 0.125) (multiplicity 24)
H (0.000, 0.000, 0.000) (multiplicity 16)
H (0.000, 0.250, 0.375) (multiplicity 24)

5.
Computed, not measured: an optimized crystal structure of KLi2Ta at the PBE-GGA level of DFT.

## Properties
ΔE_f = 0.85 eV/atom
Energy above the most stable polymorph in this dataset = 0.222 eV per atom
Crystal system = orthorhombic

Unit cell a=2.733 b=5.688 c=11.815 alpha=90.00 beta=90.00 gamma=90.00
Space group Imm2 (No. 44)
Inequivalent atoms, fractional coordinates:
K (0.000, 0.000, 0.000) (multiplicity 2)
Li (0.000, 0.000, 0.478) (multiplicity 2)
Li (0.000, 0.500, 0.762) (multiplicity 2)
Ta (0.000, 0.500, 0.208) (multiplicity 2)

6.
Computed, not measured: an optimized crystal structure of LiGa2Pb2 at the PBE-GGA level of DFT.

## Properties
ΔE_f = -0.02 eV/atom
Energy above the most stable polymorph in this dataset = 0.000 eV per atom
Crystal system = tetragonal

Unit cell a=7.507 b=7.507 c=4.342 alpha=90.00 beta=90.00 gamma=90.00
Space group P4/mbm (No. 127)
Inequivalent atoms, fractional coordinates:
Li (0.000, 0.000, 0.000) (multiplicity 2)
Ga (0.125, 0.375, 0.000) (multiplicity 4)
Pb (0.182, 0.682, 0.500) (multiplicity 4)

7.
Computed, not measured: an optimized crystal structure of RbAuI3 at the PBE-GGA level of DFT.

## Properties
Crystal system = monoclinic
E_form (uncorrected) = -599 meV/atom

Unit cell a=18.627 b=12.786 c=9.000 alpha=90.00 beta=105.83 gamma=90.00
Space group C2/c (No. 15)
Inequivalent atoms, fractional coordinates:
Rb (0.108, 0.178, 0.160) (multiplicity 8)
Au (0.000, 0.108, 0.750) (multiplicity 4)
Au (0.000, 0.424, 0.250) (multiplicity 4)
I (0.096, 0.111, 0.589) (multiplicity 8)
I (0.133, 0.417, 0.434) (multiplicity 8)
I (0.213, 0.350, 0.967) (multiplicity 8)

8.
Computed, not measured: an optimized crystal structure of Be2OsRuPb at the PBE-GGA level of DFT.

## Properties
ΔE_f = 0.92 eV/atom
Crystal system = tetragonal

Unit cell a=4.285 b=4.285 c=4.808 alpha=90.00 beta=90.00 gamma=90.00
Space group P4/mmm (No. 123)
Inequivalent atoms, fractional coordinates:
Be (0.000, 0.500, 0.000) (multiplicity 2)
Os (0.000, 0.000, 0.500) (multiplicity 1)
Ru (0.000, 0.000, 0.000) (multiplicity 1)
Pb (0.500, 0.500, 0.500) (multiplicity 1)

9.
Computed, not measured: an optimized crystal structure of NpUPb at the PBE-GGA level of DFT.

## Properties
ΔE_f = 0.20 eV/atom
Crystal system = monoclinic

Unit cell a=6.022 b=10.632 c=5.410 alpha=90.00 beta=122.68 gamma=90.00
Space group C2 (No. 5)
Inequivalent atoms, fractional coordinates:
Np (0.109, 0.000, 0.263) (multiplicity 4)
U (0.119, 0.206, 0.776) (multiplicity 4)
Pb (0.000, 0.467, 0.000) (multiplicity 2)
Pb (0.000, 0.739, 0.500) (multiplicity 2)

10.
Computed, not measured: an optimized crystal structure of Ti4Re2Mo at the PBE-GGA level of DFT.

## Properties
ΔE_f = 0.87 eV/atom
Energy above the most stable polymorph in this dataset = 0.890 eV per atom
Crystal system = tetragonal

Unit cell a=4.607 b=4.607 c=12.561 alpha=90.00 beta=90.00 gamma=90.00
Space group I4/mmm (No. 139)
Inequivalent atoms, fractional coordinates:
Ti (0.000, 0.000, 0.198) (multiplicity 4)
Ti (0.000, 0.500, 0.000) (multiplicity 4)
Re (0.000, 0.000, 0.382) (multiplicity 4)
Mo (0.000, 0.000, 0.000) (multiplicity 2)

11.
Computed, not measured: an optimized crystal structure of CsSiTe2O8 at the PBE-GGA level of DFT.

## Properties
Crystal system = monoclinic
E_form (uncorrected) = -1275 meV/atom

Unit cell a=8.714 b=5.415 c=9.606 alpha=90.00 beta=106.32 gamma=90.00
Space group C2/m (No. 12)
Inequivalent atoms, fractional coordinates:
Cs (0.000, 0.000, 0.000) (multiplicity 2)
Si (0.000, 0.500, 0.500) (multiplicity 2)
Te (0.198, 0.000, 0.662) (multiplicity 4)
O (0.050, 0.268, 0.642) (multiplicity 8)
O (0.189, 0.500, 0.145) (multiplicity 4)
O (0.204, 0.500, 0.496) (multiplicity 4)

12.
Computed, not measured: an optimized crystal structure of Sc2HgBr at the PBE-GGA level of DFT.

## Properties
Energy above the most stable polymorph in this dataset = 0.272 eV per atom
Crystal system = orthorhombic
E_form (uncorrected) = -317 meV/atom

Unit cell a=3.474 b=4.732 c=5.848 alpha=90.00 beta=90.00 gamma=90.00
Space group Pmmm (No. 47)
Inequivalent atoms, fractional coordinates:
Sc (0.000, 0.000, 0.000) (multiplicity 1)
Sc (0.500, 0.000, 0.500) (multiplicity 1)
Hg (0.000, 0.500, 0.500) (multiplicity 1)
Br (0.500, 0.500, 0.000) (multiplicity 1)

Sequential V output: 14.11 33.14 18.36 23.72 22.96 24.47 51.55 17.66 24.29 19.04 18.13 24.04 Å³/atom